Below is an optimized crystal structure of CaCoO2, with properties calculated at the PBE+U level.

Values from the calculation:
DOS at the Fermi energy   0.000 states/eV per atom
Final energy   -6.185 eV per atom
V   190.2 Å³ per cell

a b c (Å): 3.273 7.831 7.890
angles (deg): 109.91 89.99 90.01
Site moments in Bohr magnetons follow the coordinates.
Positions (direct):
1 O 0.240 0.778 0.447  0.12
2 O 0.737 0.651 0.072  0.12
3 O 0.739 0.913 0.813  0.04
4 O 0.239 0.056 0.207  0.04
5 O 0.740 0.191 0.573  0.12
6 O 0.756 0.439 0.336  0.17
7 O 0.237 0.319 0.948  0.12
8 O 0.256 0.530 0.684  0.17
9 Co 0.236 0.305 0.455  2.71
10 Co 0.238 0.548 0.199  2.70
11 Co 0.738 0.421 0.820  2.70
12 Co 0.736 0.664 0.564  2.71
13 Ca 0.238 0.779 0.936  0.01
14 Ca 0.740 0.915 0.324  0.01
15 Ca 0.240 0.054 0.696  0.01
16 Ca 0.738 0.190 0.084  0.01